DFT (PBE-GGA) results for a relaxed structure of Fe2Ir2Pt.

## Properties
Its density of states at the Fermi level is 11.89 states/eV/f.u. Its crystal system is tetragonal. The value obtained for the energy relative to the lowest polymorph listed for this composition is 230 meV/atom.

The structure in CIF format:
```
data_Fe2Ir2Pt
_chemical_formula_sum 'Fe4 Ir4 Pt2'
_space_group_name_H-M_alt 'P 1'
_space_group_IT_number 1
_space_group_name_Hall 'P 1'
_cell_length_a 7.1633
_cell_length_b 7.1633
_cell_length_c 2.6748
_cell_angle_alpha 90.00
_cell_angle_beta 90.00
_cell_angle_gamma 90.00
loop_
_atom_site_label
_atom_site_type_symbol
_atom_site_fract_x
_atom_site_fract_y
_atom_site_fract_z
Fe1 Fe 0.1661 0.3339 0.0000
Fe2 Fe 0.3339 0.8339 0.0000
Fe3 Fe 0.6661 0.1661 0.0000
Fe4 Fe 0.8339 0.6661 0.0000
Ir1 Ir 0.1295 0.6295 0.5000
Ir2 Ir 0.3705 0.1295 0.5000
Ir3 Ir 0.6295 0.8705 0.5000
Ir4 Ir 0.8705 0.3705 0.5000
Pt1 Pt 0.0000 0.0000 0.5000
Pt2 Pt 0.5000 0.5000 0.5000
```

---

DFT (PBE-GGA) results for a relaxed structure of Fe2IrPt.

## Properties
Its density of states at the Fermi level is 5.16 states/eV/f.u. Its crystal system is tetragonal. The value obtained for the energy relative to the lowest polymorph listed for this composition is 99 meV/atom.

The structure in CIF format:
```
data_Fe2IrPt
_chemical_formula_sum 'Fe2 Ir1 Pt1'
_space_group_name_H-M_alt 'P 1'
_space_group_IT_number 1
_space_group_name_Hall 'P 1'
_cell_length_a 3.1259
_cell_length_b 3.1259
_cell_length_c 5.7434
_cell_angle_alpha 90.00
_cell_angle_beta 90.00
_cell_angle_gamma 90.00
loop_
_atom_site_label
_atom_site_type_symbol
_atom_site_fract_x
_atom_site_fract_y
_atom_site_fract_z
Fe1 Fe 0.0000 0.0000 0.2469
Fe2 Fe 0.0000 0.0000 0.7531
Ir1 Ir 0.5000 0.5000 0.0000
Pt1 Pt 0.5000 0.5000 0.5000
```

---

DFT (PBE-GGA) results for a relaxed structure of FeIr2Pt.

## Properties
Its density of states at the Fermi level is 4.69 states/eV/f.u. Its calculated total energy is -32.23 eV/cell. Its crystal system is orthorhombic.

The structure in CIF format:
```
data_FeIr2Pt
_chemical_formula_sum 'Fe1 Ir2 Pt1'
_space_group_name_H-M_alt 'P 1'
_space_group_IT_number 1
_space_group_name_Hall 'P 1'
_cell_length_a 2.7382
_cell_length_b 3.7701
_cell_length_c 5.5138
_cell_angle_alpha 90.00
_cell_angle_beta 90.00
_cell_angle_gamma 90.00
loop_
_atom_site_label
_atom_site_type_symbol
_atom_site_fract_x
_atom_site_fract_y
_atom_site_fract_z
Fe1 Fe 0.0000 0.0000 0.0000
Ir1 Ir 0.5000 0.5000 0.2383
Ir2 Ir 0.5000 0.5000 0.7617
Pt1 Pt 0.0000 0.0000 0.5000
```

---

DFT (PBE-GGA) results for a relaxed structure of FeIrPt2.

## Properties
Its density of states at the Fermi level is 4.45 states/eV/f.u. Its crystal system is cubic. The value obtained for the energy relative to the lowest polymorph listed for this composition is 285 meV/atom.

The structure in CIF format:
```
data_FeIrPt2
_chemical_formula_sum 'Fe1 Ir1 Pt2'
_space_group_name_H-M_alt 'P 1'
_space_group_IT_number 1
_space_group_name_Hall 'P 1'
_cell_length_a 4.3924
_cell_length_b 4.3924
_cell_length_c 4.3924
_cell_angle_alpha 60.00
_cell_angle_beta 60.00
_cell_angle_gamma 60.00
loop_
_atom_site_label
_atom_site_type_symbol
_atom_site_fract_x
_atom_site_fract_y
_atom_site_fract_z
Fe1 Fe 0.0000 0.0000 0.0000
Ir1 Ir 0.5000 0.5000 0.5000
Pt1 Pt 0.2500 0.2500 0.2500
Pt2 Pt 0.7500 0.7500 0.7500
```

---

DFT (PBE-GGA) results for a relaxed structure of FeIr2Pt.

## Properties
Its density of states at the Fermi level is 4.80 states/eV/f.u. Its calculated total energy is -31.72 eV/cell. Its crystal system is monoclinic.

The structure in CIF format:
```
data_FeIr2Pt
_chemical_formula_sum 'Fe1 Ir2 Pt1'
_space_group_name_H-M_alt 'P 1'
_space_group_IT_number 1
_space_group_name_Hall 'P 1'
_cell_length_a 5.3777
_cell_length_b 5.3777
_cell_length_c 2.7138
_cell_angle_alpha 104.44
_cell_angle_beta 104.44
_cell_angle_gamma 119.98
loop_
_atom_site_label
_atom_site_type_symbol
_atom_site_fract_x
_atom_site_fract_y
_atom_site_fract_z
Fe1 Fe 0.0000 0.0000 0.0000
Ir1 Ir 0.0000 0.5000 0.5000
Ir2 Ir 0.5000 0.0000 0.5000
Pt1 Pt 0.5000 0.5000 0.0000
```

---

DFT (PBE-GGA) results for a relaxed structure of Fe2IrPt.

## Properties
Its density of states at the Fermi level is 5.07 states/eV/f.u. Its crystal system is tetragonal. The value obtained for the energy relative to the lowest polymorph listed for this composition is 45 meV/atom.

The structure in CIF format:
```
data_Fe2IrPt
_chemical_formula_sum 'Fe2 Ir1 Pt1'
_space_group_name_H-M_alt 'P 1'
_space_group_IT_number 1
_space_group_name_Hall 'P 1'
_cell_length_a 4.6811
_cell_length_b 4.6811
_cell_length_c 4.6811
_cell_angle_alpha 132.51
_cell_angle_beta 132.51
_cell_angle_gamma 69.42
loop_
_atom_site_label
_atom_site_type_symbol
_atom_site_fract_x
_atom_site_fract_y
_atom_site_fract_z
Fe1 Fe 0.0000 0.0000 0.0000
Fe2 Fe 0.7500 0.2500 0.5000
Ir1 Ir 0.2500 0.7500 0.5000
Pt1 Pt 0.5000 0.5000 0.0000
```

---

Total magnetization
In order: 0.00 7.59 2.55 3.09 3.79 5.94
Unit: μB/cell